[1]
Material: ReMoRh
Method: DFT, PBE-GGA
State: optimized geometry

Geometry as POSCAR:
```
ReMoRh
1.0
4.435 0.000 0.000
-2.218 3.841 0.000
0.000 0.000 2.687
Re Mo Rh
1 1 1
direct
0.000 0.000 0.000
0.333 0.667 0.000
0.667 0.333 0.500
```

energy relative to the elements	0.32	eV/f.u.
E above lowest polymorph	203	meV/atom
spin magnetization	0.000	μB per cell

[2]
Material: ErTm9In2
Method: DFT, PBE-GGA
State: optimized geometry

Geometry as POSCAR:
```
ErTm9In2
1.0
4.812 0.000 0.000
0.000 4.812 0.000
0.000 0.000 14.673
Er Tm In
1 9 2
direct
0.000 0.000 0.000
0.000 0.500 0.172
0.000 0.500 0.500
0.000 0.500 0.828
0.500 0.000 0.172
0.500 0.000 0.500
0.500 0.000 0.828
0.500 0.500 0.000
0.500 0.500 0.338
0.500 0.500 0.662
0.000 0.000 0.338
0.000 0.000 0.662
```

energy relative to the elements	-1.94	eV/f.u.
spin magnetization	0.001	μB per cell

[3]
Material: Ba2PrNdS4
Method: DFT, PBE-GGA
State: optimized geometry

Geometry as POSCAR:
```
Ba2PrNdS4
1.0
7.343 0.000 0.000
0.000 4.249 0.000
-2.458 0.000 7.191
Ba Pr Nd S
2 1 1 4
direct
0.000 0.000 0.000
0.500 0.500 0.000
0.000 0.500 0.500
0.500 0.000 0.500
0.242 0.000 0.722
0.261 0.500 0.279
0.739 0.500 0.721
0.758 0.000 0.278
```

E_form (uncorrected)	-2.021	eV/atom
spin magnetization	0.000	μB per cell

[4]
Material: TcBr2Cl
Method: DFT, PBE-GGA
State: optimized geometry

Geometry as POSCAR:
```
TcBr2Cl
1.0
-1.649 2.566 6.912
1.649 -2.566 6.912
1.649 2.566 -6.912
Tc Br Cl
1 2 1
direct
0.000 0.000 0.000
0.144 0.644 0.500
0.856 0.356 0.500
0.500 0.500 0.000
```

E above lowest polymorph	370	meV/atom
E_form (uncorrected)	0.036	eV/atom
spin magnetization	3.105	μB per cell